(1)
A relaxed structure of TaTcB3, computed with PBE.

Output
The formation energy from the elements comes out at -571.3 meV per atom. The space group is Cmcm. For the energy relative to the lowest polymorph listed for this composition, the calculation gives 0.0 kJ/mol of atoms.

a b c (Å): 9.4773 9.4773 3.0348
angles (deg): 90.00 90.00 159.36
Fractional positions:
Ta1 0.0727 0.9273 0.7500
Ta2 0.9273 0.0727 0.2500
Tc1 0.1996 0.8004 0.2500
Tc2 0.8004 0.1996 0.7500
B1 0.3246 0.6754 0.2500
B2 0.3774 0.6226 0.7500
B3 0.4759 0.5241 0.7500
B4 0.5241 0.4759 0.2500
B5 0.6226 0.3774 0.2500
B6 0.6754 0.3246 0.7500



(2)
A relaxed structure of TaTcB2, computed with PBE.

Output
The formation energy from the elements comes out at -559.5 meV per atom. The space group is Pm. For the energy relative to the lowest polymorph listed for this composition, the calculation gives 0.0 kJ/mol of atoms.

a b c (Å): 3.3156 3.0633 4.5318
angles (deg): 90.00 111.60 90.00
Fractional positions:
Ta1 0.0000 0.0000 0.0000
Tc1 0.2863 0.5000 0.5754
B1 0.5840 0.5000 0.1705
B2 0.7054 0.0000 0.4100